The following is a DFT calculation (PBE) of an optimized crystal structure of Li2CrP.

```
Li2CrP
1.0
8.9602 -0.0273 -0.0160
8.5823 2.5750 -0.0160
8.5823 1.2464 2.2533
P Cr Li
1 1 2
direct
0.2500 0.2500 0.2500
0.7500 0.7500 0.7500
0.9925 0.9925 0.9925
0.5075 0.5075 0.5075
```

Values from the calculation:
**Symmetry**: R-3m (166)
**V**: 13.2 Å³ per atom
**Calculated formation energy**: 0.27 eV/atom

---

The following is a DFT calculation (PBE) of an optimized crystal structure of LiCrP2.

```
LiCrP2
1.0
3.9278 0.0000 0.0000
0.0000 3.9361 0.0000
0.0000 0.0000 3.4731
P Cr Li
2 1 1
direct
0.5000 0.5000 0.0000
0.0000 0.0000 0.0000
0.5000 0.0000 0.5000
0.0000 0.5000 0.5000
```

Values from the calculation:
**Symmetry**: P4/mmm (123)
**V**: 13.4 Å³ per atom
**Calculated formation energy**: -0.10 eV/atom
**Distance to the lowest polymorph of the same formula**: 6.61 kcal/mol of atoms

---

The following is a DFT calculation (PBE) of an optimized crystal structure of RbLi2CrP.

```
RbLi2CrP
1.0
-2.8119 -3.9969 -0.0406
2.5314 -1.8266 4.4904
-3.2954 2.2900 2.7892
Li P Rb Cr
2 1 1 1
direct
0.5000 0.0000 0.0000
0.0000 0.0000 0.5000
0.5000 0.5000 0.5000
0.0000 0.0000 0.0000
0.0000 0.5000 0.0000
```

Values from the calculation:
**Symmetry**: P4/mmm (123)
**V**: 26.1 Å³ per atom
**Calculated formation energy**: 1.48 eV/atom

---

The following is a DFT calculation (PBE) of an optimized crystal structure of LiCrP2S.

```
LiCrP2S
1.0
-3.5991 2.2671 -0.6161
0.2562 -0.7417 -4.2258
-2.7886 -4.2692 0.5803
S P Cr Li
1 2 1 1
direct
0.0000 0.0000 0.5000
0.0000 0.5000 0.0000
0.5000 0.0000 0.0000
0.0000 0.0000 0.0000
0.5000 0.5000 0.5000
```

Values from the calculation:
**Symmetry**: P4/mmm (123)
**V**: 19.0 Å³ per atom
**Formation energy without anion corrections**: 0.0944 eV/atom
**Distance to the lowest polymorph of the same formula**: 0.00 kcal/mol of atoms

---

The following is a DFT calculation (PBE) of an optimized crystal structure of LiCrPS2.

```
LiCrPS2
1.0
4.5729 0.0000 0.0000
0.0000 4.5729 0.0000
0.0000 0.0000 4.4366
Li Cr P S
1 1 1 2
direct
0.5000 0.5000 0.5000
0.0000 0.0000 0.0000
0.0000 0.0000 0.5000
0.5000 0.0000 0.0000
0.0000 0.5000 0.0000
```

Values from the calculation:
**Symmetry**: P4/mmm (123)
**V**: 18.6 Å³ per atom
**Formation energy without anion corrections**: -0.0212 eV/atom
**Distance to the lowest polymorph of the same formula**: 0.00 kcal/mol of atoms

---

The following is a DFT calculation (PBE) of an optimized crystal structure of LiCrPS2.

```
LiCrPS2
1.0
-0.5566 -4.3464 -1.0533
3.4932 -1.0853 2.6325
-2.5747 -0.4530 3.2298
P S Cr Li
1 2 1 1
direct
0.0000 0.0000 0.5000
0.0000 0.5000 0.0000
0.5000 0.0000 0.0000
0.5000 0.5000 0.5000
0.0000 0.0000 0.0000
```

Values from the calculation:
**Symmetry**: P4/mmm (123)
**V**: 16.9 Å³ per atom
**Formation energy without anion corrections**: 0.5937 eV/atom
**Distance to the lowest polymorph of the same formula**: 14.18 kcal/mol of atoms